1:
This record from Alexandria via LeMat-Bulk describes Be3BiIr after structural relaxation. The functional is GGA-PBE.

- Density: 8.7 g/cm³

The structure in CIF format:
```
data_Be3BiIr
_cell_length_a 4.345
_cell_length_b 4.345
_cell_length_c 4.345
_cell_angle_alpha 90.00
_cell_angle_beta 90.00
_cell_angle_gamma 90.00
_symmetry_space_group_name_H-M 'P m -3 m'
_symmetry_Int_Tables_number 221
_symmetry_space_group_name_Hall '-P 4 2 3'
loop_
_atom_site_label
_atom_site_type_symbol
_atom_site_fract_x
_atom_site_fract_y
_atom_site_fract_z
_atom_site_occupancy
Be1 Be 0.000 0.000 0.500 1
Bi1 Bi 0.500 0.500 0.500 1
Ir1 Ir 0.000 0.000 0.000 1
```



2:
This record from Alexandria via LeMat-Bulk describes Be3BiIr after structural relaxation. The functional is GGA-PBE.

- Density: 7.6 g/cm³

The structure in CIF format:
```
data_Be3BiIr
_cell_length_a 4.536
_cell_length_b 4.536
_cell_length_c 4.536
_cell_angle_alpha 90.00
_cell_angle_beta 90.00
_cell_angle_gamma 90.00
_symmetry_space_group_name_H-M 'P m -3 m'
_symmetry_Int_Tables_number 221
_symmetry_space_group_name_Hall '-P 4 2 3'
loop_
_atom_site_label
_atom_site_type_symbol
_atom_site_fract_x
_atom_site_fract_y
_atom_site_fract_z
_atom_site_occupancy
Be1 Be 0.000 0.000 0.500 1
Bi1 Bi 0.000 0.000 0.000 1
Ir1 Ir 0.500 0.500 0.500 1
```



Least stable = 2



1:
This record from Alexandria via LeMat-Bulk describes K2BeBi after structural relaxation. The functional is GGA-PBE.

- Density: 3.6 g/cm³

The structure in CIF format:
```
data_K2BeBi
_cell_length_a 8.209
_cell_length_b 8.209
_cell_length_c 8.209
_cell_angle_alpha 90.00
_cell_angle_beta 90.00
_cell_angle_gamma 90.00
_symmetry_space_group_name_H-M 'F m -3 m'
_symmetry_Int_Tables_number 225
_symmetry_space_group_name_Hall '-F 4 2 3'
loop_
_atom_site_label
_atom_site_type_symbol
_atom_site_fract_x
_atom_site_fract_y
_atom_site_fract_z
_atom_site_occupancy
K1 K 0.250 0.250 0.250 1
Be1 Be 0.000 0.000 0.000 1
Bi1 Bi 0.000 0.000 0.500 1
```



2:
This record from Alexandria via LeMat-Bulk describes K2BeBi after structural relaxation. The functional is GGA-PBE.

- Density: 3.7 g/cm³

The structure in CIF format:
```
data_K2BeBi
_cell_length_a 4.720
_cell_length_b 4.720
_cell_length_c 23.762
_cell_angle_alpha 90.00
_cell_angle_beta 90.00
_cell_angle_gamma 90.00
_symmetry_space_group_name_H-M 'I -4 2 d'
_symmetry_Int_Tables_number 122
_symmetry_space_group_name_Hall 'I -4 2bw'
loop_
_atom_site_label
_atom_site_type_symbol
_atom_site_fract_x
_atom_site_fract_y
_atom_site_fract_z
_atom_site_occupancy
K1 K 0.235 0.250 0.125 1
Be1 Be 0.000 0.000 0.000 1
Bi1 Bi 0.000 0.000 0.500 1
```



Least stable = 2



1:
This record from Alexandria via LeMat-Bulk describes KBe3Bi after structural relaxation. The functional is GGA-PBE.

- Density: 3.5 g/cm³

The structure in CIF format:
```
data_KBe3Bi
_cell_length_a 5.056
_cell_length_b 5.056
_cell_length_c 5.056
_cell_angle_alpha 90.00
_cell_angle_beta 90.00
_cell_angle_gamma 90.00
_symmetry_space_group_name_H-M 'P m -3 m'
_symmetry_Int_Tables_number 221
_symmetry_space_group_name_Hall '-P 4 2 3'
loop_
_atom_site_label
_atom_site_type_symbol
_atom_site_fract_x
_atom_site_fract_y
_atom_site_fract_z
_atom_site_occupancy
K1 K 0.000 0.000 0.000 1
Be1 Be 0.000 0.000 0.500 1
Bi1 Bi 0.500 0.500 0.500 1
```



2:
This record from Alexandria via LeMat-Bulk describes KBe3Bi after structural relaxation. The functional is GGA-PBE.

- Density: 3.2 g/cm³

The structure in CIF format:
```
data_KBe3Bi
_cell_length_a 5.204
_cell_length_b 5.204
_cell_length_c 5.204
_cell_angle_alpha 90.00
_cell_angle_beta 90.00
_cell_angle_gamma 90.00
_symmetry_space_group_name_H-M 'P m -3 m'
_symmetry_Int_Tables_number 221
_symmetry_space_group_name_Hall '-P 4 2 3'
loop_
_atom_site_label
_atom_site_type_symbol
_atom_site_fract_x
_atom_site_fract_y
_atom_site_fract_z
_atom_site_occupancy
K1 K 0.000 0.000 0.000 1
Be1 Be 0.000 0.500 0.500 1
Bi1 Bi 0.500 0.500 0.500 1
```



Least stable = 1



1:
This record from Alexandria via LeMat-Bulk describes K2BeBi2 after structural relaxation. The functional is GGA-PBE.

- Density: 4.1 g/cm³

The structure in CIF format:
```
data_K2BeBi2
_cell_length_a 4.518
_cell_length_b 4.518
_cell_length_c 20.155
_cell_angle_alpha 90.00
_cell_angle_beta 90.00
_cell_angle_gamma 90.00
_symmetry_space_group_name_H-M 'I 4/m m m'
_symmetry_Int_Tables_number 139
_symmetry_space_group_name_Hall '-I 4 2'
loop_
_atom_site_label
_atom_site_type_symbol
_atom_site_fract_x
_atom_site_fract_y
_atom_site_fract_z
_atom_site_occupancy
K1 K 0.000 0.000 0.100 1
Be1 Be 0.000 0.000 0.500 1
Bi1 Bi 0.000 0.500 0.250 1
```



2:
This record from Alexandria via LeMat-Bulk describes K2BeBi2 after structural relaxation. The functional is GGA-PBE.

- Density: 4.3 g/cm³

The structure in CIF format:
```
data_K2BeBi2
_cell_length_a 10.337
_cell_length_b 10.337
_cell_length_c 3.643
_cell_angle_alpha 90.00
_cell_angle_beta 90.00
_cell_angle_gamma 90.00
_symmetry_space_group_name_H-M 'P 4/m b m'
_symmetry_Int_Tables_number 127
_symmetry_space_group_name_Hall '-P 4 2ab'
loop_
_atom_site_label
_atom_site_type_symbol
_atom_site_fract_x
_atom_site_fract_y
_atom_site_fract_z
_atom_site_occupancy
K1 K 0.194 0.306 0.000 1
Be1 Be 0.000 0.000 0.000 1
Bi1 Bi 0.101 0.601 0.500 1
```



Least stable = 2



1:
This record from Alexandria via LeMat-Bulk describes KBeBi3 after structural relaxation. The functional is GGA-PBE.

- Density: 7.3 g/cm³

The structure in CIF format:
```
data_KBeBi3
_cell_length_a 5.350
_cell_length_b 5.350
_cell_length_c 5.350
_cell_angle_alpha 90.00
_cell_angle_beta 90.00
_cell_angle_gamma 90.00
_symmetry_space_group_name_H-M 'P m -3 m'
_symmetry_Int_Tables_number 221
_symmetry_space_group_name_Hall '-P 4 2 3'
loop_
_atom_site_label
_atom_site_type_symbol
_atom_site_fract_x
_atom_site_fract_y
_atom_site_fract_z
_atom_site_occupancy
K1 K 0.000 0.000 0.000 1
Be1 Be 0.500 0.500 0.500 1
Bi1 Bi 0.000 0.500 0.500 1
```



2:
This record from Alexandria via LeMat-Bulk describes KBeBi3 after structural relaxation. The functional is GGA-PBE.

- Density: 5.3 g/cm³

The structure in CIF format:
```
data_KBeBi3
_cell_length_a 5.946
_cell_length_b 5.946
_cell_length_c 5.946
_cell_angle_alpha 90.00
_cell_angle_beta 90.00
_cell_angle_gamma 90.00
_symmetry_space_group_name_H-M 'P m -3 m'
_symmetry_Int_Tables_number 221
_symmetry_space_group_name_Hall '-P 4 2 3'
loop_
_atom_site_label
_atom_site_type_symbol
_atom_site_fract_x
_atom_site_fract_y
_atom_site_fract_z
_atom_site_occupancy
K1 K 0.000 0.000 0.000 1
Be1 Be 0.500 0.500 0.500 1
Bi1 Bi 0.000 0.000 0.500 1
```



Least stable = 2



1:
This record from Alexandria via LeMat-Bulk describes KBeBi2Sb after structural relaxation. The functional is GGA-PBE.

- Density: 5.3 g/cm³

The structure in CIF format:
```
data_KBeBi2Sb
_cell_length_a 5.986
_cell_length_b 5.986
_cell_length_c 5.108
_cell_angle_alpha 90.00
_cell_angle_beta 90.00
_cell_angle_gamma 90.00
_symmetry_space_group_name_H-M 'P 4/m m m'
_symmetry_Int_Tables_number 123
_symmetry_space_group_name_Hall '-P 4 2'
loop_
_atom_site_label
_atom_site_type_symbol
_atom_site_fract_x
_atom_site_fract_y
_atom_site_fract_z
_atom_site_occupancy
K1 K 0.000 0.000 0.000 1
Be1 Be 0.000 0.000 0.500 1
Bi1 Bi 0.000 0.500 0.000 1
Sb1 Sb 0.500 0.500 0.500 1
```



2:
This record from Alexandria via LeMat-Bulk describes KBeBi2Sb after structural relaxation. The functional is GGA-PBE.

- Density: 4.7 g/cm³

The structure in CIF format:
```
data_KBeBi2Sb
_cell_length_a 5.931
_cell_length_b 5.931
_cell_length_c 5.854
_cell_angle_alpha 90.00
_cell_angle_beta 90.00
_cell_angle_gamma 90.00
_symmetry_space_group_name_H-M 'P 4/m m m'
_symmetry_Int_Tables_number 123
_symmetry_space_group_name_Hall '-P 4 2'
loop_
_atom_site_label
_atom_site_type_symbol
_atom_site_fract_x
_atom_site_fract_y
_atom_site_fract_z
_atom_site_occupancy
K1 K 0.000 0.000 0.000 1
Be1 Be 0.500 0.500 0.500 1
Bi1 Bi 0.000 0.500 0.000 1
Sb1 Sb 0.000 0.000 0.500 1
```



Least stable = 2



1:
This record from Alexandria via LeMat-Bulk describes LaBeBi2 after structural relaxation. The functional is GGA-PBE.

- Density: 8.4 g/cm³

The structure in CIF format:
```
data_LaBeBi2
_cell_length_a 7.823
_cell_length_b 7.823
_cell_length_c 7.339
_cell_angle_alpha 90.00
_cell_angle_beta 90.00
_cell_angle_gamma 90.00
_symmetry_space_group_name_H-M 'I -4 2 d'
_symmetry_Int_Tables_number 122
_symmetry_space_group_name_Hall 'I -4 2bw'
loop_
_atom_site_label
_atom_site_type_symbol
_atom_site_fract_x
_atom_site_fract_y
_atom_site_fract_z
_atom_site_occupancy
La1 La 0.000 0.000 0.000 1
Be1 Be 0.000 0.000 0.500 1
Bi1 Bi 0.173 0.250 0.625 1
```



2:
This record from Alexandria via LeMat-Bulk describes LaBeBi2 after structural relaxation. The functional is GGA-PBE.

- Density: 8.4 g/cm³

The structure in CIF format:
```
data_LaBeBi2
_cell_length_a 7.635
_cell_length_b 7.635
_cell_length_c 7.635
_cell_angle_alpha 90.00
_cell_angle_beta 90.00
_cell_angle_gamma 90.00
_symmetry_space_group_name_H-M 'F m -3 m'
_symmetry_Int_Tables_number 225
_symmetry_space_group_name_Hall '-F 4 2 3'
loop_
_atom_site_label
_atom_site_type_symbol
_atom_site_fract_x
_atom_site_fract_y
_atom_site_fract_z
_atom_site_occupancy
La1 La 0.000 0.000 0.000 1
Be1 Be 0.000 0.000 0.500 1
Bi1 Bi 0.250 0.250 0.250 1
```



Least stable = 2